This record from Alexandria via LeMat-Bulk describes a relaxed structure of Si2NiPb. The functional is PBE.

Output
Formation energy from raw total energies: 360 meV/atom
Volume: 18.0 Å³ per atom
Space group: No. 71
Energy: -4.72 eV per atom

Lattice parameters (Å, degrees): 5.7512 5.7512 5.7512 151.15 127.62 60.90
Positions (direct):
Ni  0.7500  0.2500  0.5000
Pb  0.2500  0.7500  0.5000
Si  0.9484  0.9484  0.0000
Si  0.5516  0.5516  0.0000